A plane-wave DFT calculation with PBE-GGA was carried out for crystalline CeDyMgZn at its relaxed geometry.

Geometry as CIF:
```
data_CeDyMgZn
_symmetry_space_group_name_H-M 'F -4 3 m'
_symmetry_Int_Tables_number 216
_symmetry_space_group_name_Hall 'F -4 2 3'
_cell_length_a 7.3896
_cell_length_b 7.3896
_cell_length_c 7.3896
_cell_angle_alpha 90.00
_cell_angle_beta 90.00
_cell_angle_gamma 90.00
loop_
_atom_site_label
_atom_site_fract_x
_atom_site_fract_y
_atom_site_fract_z
Ce1 0.0000 0.0000 0.0000
Dy1 0.0000 0.0000 0.5000
Mg1 0.2500 0.2500 0.2500
Zn1 0.2500 0.2500 0.7500
```

Summary:
Energy of formation ... -0.092 eV per atom
Magnetic moment ... 3.75 μB/cell

=====

A plane-wave DFT calculation with PBE-GGA was carried out for crystalline RbNpSO at its relaxed geometry.

Geometry as CIF:
```
data_RbNpSO
_symmetry_space_group_name_H-M 'C 1 m 1'
_symmetry_Int_Tables_number 8
_cell_length_a 6.5333
_cell_length_b 3.7729
_cell_length_c 7.8021
_cell_angle_alpha 90.00
_cell_angle_beta 105.97
_cell_angle_gamma 90.00
loop_
_symmetry_equiv_pos_as_xyz
'x,y,z'
'x,-y,z'
'x+1/2,y+1/2,z'
'x+1/2,-y+1/2,z'
loop_
_atom_site_label
_atom_site_fract_x
_atom_site_fract_y
_atom_site_fract_z
Rb1 0.0000 0.0000 0.0000
Np1 0.1597 0.0000 0.4720
S1 0.0682 0.5000 0.7006
O1 0.2861 0.5000 0.3502
```

Summary:
Formation energy from raw total energies ... -1.6961 eV per atom
Magnetic moment ... 8.00 μB/cell

=====

A plane-wave DFT calculation with PBE-GGA was carried out for crystalline NpSiS at its relaxed geometry.

Geometry as CIF:
```
data_NpSiS
_symmetry_space_group_name_H-M 'C 1 2/m 1'
_symmetry_Int_Tables_number 12
_cell_length_a 6.2224
_cell_length_b 6.3939
_cell_length_c 6.9636
_cell_angle_alpha 90.00
_cell_angle_beta 99.05
_cell_angle_gamma 90.00
loop_
_symmetry_equiv_pos_as_xyz
'x,y,z'
'-x,-y,-z'
'-x,y,-z'
'x,-y,z'
'x+1/2,y+1/2,z'
'-x+1/2,-y+1/2,-z'
'-x+1/2,y+1/2,-z'
'x+1/2,-y+1/2,z'
loop_
_atom_site_label
_atom_site_fract_x
_atom_site_fract_y
_atom_site_fract_z
Np1 0.2181 0.0000 0.2861
Si1 0.0000 0.3177 0.0000
S1 0.0000 0.2475 0.5000
```

Summary:
Formation energy from raw total energies ... -0.4911 eV per atom
Energy above the lowest structure with this stoichiometry ... 379.1 meV per atom
Magnetic moment ... 14.69 μB/cell

=====

A plane-wave DFT calculation with PBE-GGA was carried out for crystalline Sm2Dy3Y6Mg at its relaxed geometry.

Geometry as CIF:
```
data_Sm2Dy3Y6Mg
_symmetry_space_group_name_H-M 'C 1 2/m 1'
_symmetry_Int_Tables_number 12
_cell_length_a 6.1471
_cell_length_b 10.6555
_cell_length_c 11.7724
_cell_angle_alpha 90.00
_cell_angle_beta 100.09
_cell_angle_gamma 90.00
loop_
_symmetry_equiv_pos_as_xyz
'x,y,z'
'-x,-y,-z'
'-x,y,-z'
'x,-y,z'
'x+1/2,y+1/2,z'
'-x+1/2,-y+1/2,-z'
'-x+1/2,y+1/2,-z'
'x+1/2,-y+1/2,z'
loop_
_atom_site_label
_atom_site_fract_x
_atom_site_fract_y
_atom_site_fract_z
Sm1 0.0000 0.1664 0.0000
Dy1 0.0000 0.0000 0.5000
Dy2 0.0000 0.3344 0.5000
Y1 0.2485 0.3343 0.2499
Y2 0.2489 0.5000 0.7491
Mg1 0.0000 0.5000 0.0000
```

Summary:
Energy of formation ... 0.026 eV per atom
Magnetic moment ... 0.00 μB/cell